1.
The following is a PBE calculation of a geometry-optimized Tb3Sm8Y4 structure, from Alexandria.

Lattice parameters (Å, degrees): 13.5369 12.8091 6.8648 90.00 120.36 90.00
Space group C2/m (No. 12)
Symmetry-distinct sites (fractional):
Tb: 0.0000 0.0000 0.0000 [2 per cell]
Tb: 0.2500 0.2500 0.5000 [4 per cell]
Sm: 0.0000 0.1461 0.5000 [4 per cell]
Sm: 0.0000 0.2468 0.0000 [4 per cell]
Sm: 0.2295 0.0000 0.9576 [4 per cell]
Sm: 0.2325 0.0000 0.4890 [4 per cell]
Y: 0.0000 0.5000 0.0000 [2 per cell]
Y: 0.0000 0.5000 0.5000 [2 per cell]
Y: 0.2500 0.2500 0.0000 [4 per cell]

Summary:
V: 34.24 Å³/atom
Formation energy from the elements: 0.378 eV per atom
Energy relative to the lowest polymorph listed for this composition: 237 meV per atom
DOS(E_F): 58.5 states/eV per cell

=====

2.
The following is a PBE calculation of a geometry-optimized BaMgGa structure, from Alexandria.

Lattice parameters (Å, degrees): 5.0695 4.5634 8.7613 90.00 93.05 90.00
Space group P2_1/m (No. 11)
Symmetry-distinct sites (fractional):
Ba: 0.0169 0.2500 0.2177 [2 per cell]
Mg: 0.4695 0.2500 0.6090 [2 per cell]
Ga: 0.4921 0.2500 0.9293 [2 per cell]

Summary:
V: 33.73 Å³/atom
Formation energy from the elements: -0.204 eV per atom
DOS(E_F): 5.6 states/eV per cell